Here is a geometry-optimized Ac3Zn2MoO9 structure from Alexandria. Energies are from PBE with a Hubbard U.

Cell and atoms, written as CIF:
```
data_Ac3Zn2MoO9
_chemical_formula_sum 'Ac3 Zn2 Mo1 O9'
_symmetry_space_group_name_H-M 'P 1'
_symmetry_Int_Tables_number 1
_cell_length_a 5.7841
_cell_length_b 5.7841
_cell_length_c 7.0078
_cell_angle_alpha 90.00
_cell_angle_beta 90.00
_cell_angle_gamma 120.00
loop_
_symmetry_equiv_pos_as_xyz
'x,y,z'
loop_
_atom_site_label
_atom_site_type_symbol
_atom_site_fract_x
_atom_site_fract_y
_atom_site_fract_z
O1 O 0.3230 0.1615 0.6628
O2 O 0.5000 0.5000 0.0000
O3 O 0.1615 0.3230 0.3372
O4 O 0.1615 0.8385 0.3372
O5 O 0.8385 0.6770 0.6628
O6 O 0.6770 0.8385 0.3372
O7 O 0.0000 0.5000 0.0000
O8 O 0.5000 0.0000 0.0000
O9 O 0.8385 0.1615 0.6628
Zn1 Zn 0.3333 0.6667 0.1713
Zn2 Zn 0.6667 0.3333 0.8287
Ac1 Ac 0.0000 0.0000 0.0000
Ac2 Ac 0.6667 0.3333 0.2923
Ac3 Ac 0.3333 0.6667 0.7077
Mo1 Mo 0.0000 0.0000 0.5000
```

Results
Crystal system: trigonal
Calculated total energy in eV per cell: -102.8
SG: No. 164